1.
KZnGaGe2 | SCAN | single point on PBEsol structure

```
KZnGaGe2
1.0
-2.205 0.072 5.037
-3.950 -3.438 -1.680
3.112 -4.272 1.424
K Ge Zn Ga
1 2 1 1
Cartesian
0.000 0.000 0.000
-1.975 -1.719 -0.840
-1.103 0.036 2.519
-1.522 -3.818 2.391
1.556 -2.136 0.712
```

Summary:
DOS at the Fermi energy   4.08 states/eV/f.u.
Energy   -68.10 eV per cell
Magnetization   0.0 μB per formula unit
Energy of formation from the pure elements   1653 meV per atom



2.
LaGaGe2O7 | SCAN | single point on PBEsol structure

```
LaGaGe2O7
1.0
-2.280 -3.194 -5.355
6.611 -2.926 -1.070
-1.710 -9.510 6.400
La Ga Ge O
4 4 8 28
Cartesian
-0.550 -7.361 -0.693
3.171 -8.270 0.669
1.195 -1.388 -0.883
1.426 -14.243 0.859
3.877 -11.760 0.411
-1.256 -3.871 -0.435
1.871 -9.142 3.819
0.750 -6.489 -3.843
2.594 -12.376 3.461
0.027 -3.255 -3.485
2.057 -10.062 -1.806
0.564 -5.569 1.782
-0.905 -7.349 4.027
3.526 -8.282 -4.052
0.095 -10.552 1.397
2.526 -5.078 -1.421
-1.047 -9.324 0.850
3.668 -6.306 -0.874
0.070 -8.810 4.182
2.551 -6.820 -4.206
4.067 -12.585 4.318
-1.447 -3.046 -4.342
1.338 -8.797 -0.894
1.283 -6.834 0.870
1.560 -9.745 1.930
1.061 -5.885 -1.954
2.869 -13.004 -0.799
-0.248 -2.626 0.775
0.164 -5.991 3.472
2.457 -9.639 -3.497
-0.580 -11.358 2.876
3.201 -4.272 -2.900
2.769 -12.465 1.722
-0.148 -3.166 -1.746
3.211 -8.111 3.053
-0.590 -7.519 -3.077
1.934 -10.983 4.369
0.687 -4.647 -4.393
3.525 -10.323 -0.818
-0.904 -5.307 0.794
4.526 -10.357 1.659
-1.905 -5.274 -1.683
0.250 -11.905 0.289
2.371 -3.725 -0.313
```

Summary:
DOS at the Fermi energy   0.00 states/eV/f.u.
Energy   -669.74 eV per cell
Raw formation energy   -2.38 eV/atom
Magnetization   0.0 μB per formula unit



3.
LiGaGeO4 | SCAN | single point on PBEsol structure

```
LiGaGeO4
1.0
-7.369 3.813 2.380
-2.005 -7.465 -3.842
4.466 -1.824 7.157
Li Ga Ge O
6 6 6 24
Cartesian
-1.312 -5.402 5.004
-4.521 -1.834 5.669
-5.148 -5.016 2.069
-3.596 -0.074 0.691
-0.387 -3.642 0.026
0.240 -0.460 3.625
0.355 -3.595 3.207
-3.530 -3.294 0.148
-5.263 -1.881 2.488
-1.920 -5.489 1.899
-1.378 -2.182 5.547
-2.987 0.013 3.795
-3.288 -5.598 -1.917
2.537 -3.227 5.382
0.447 -7.488 2.075
-1.620 0.122 7.611
-7.444 -2.249 0.313
-5.354 2.012 3.619
-2.059 -4.277 0.577
-1.932 -3.895 6.081
-3.568 -6.021 2.627
-5.639 -2.512 4.217
-2.976 -1.581 -0.386
-1.339 0.545 3.068
0.731 -2.964 1.478
-0.129 -2.186 4.251
-0.806 -1.331 7.109
-4.077 -0.528 2.443
-4.779 -3.290 1.444
-2.848 -1.199 5.118
-4.101 -4.145 -1.415
2.011 -4.050 3.944
-3.828 1.592 4.338
-5.187 2.500 1.914
-6.919 -1.426 1.751
-1.080 -7.068 1.357
-7.874 -3.950 0.626
-1.637 -5.279 -2.506
2.966 -1.526 5.069
0.280 -7.976 3.781
-3.271 -0.197 8.201
-0.831 -4.948 3.252
```

Summary:
DOS at the Fermi energy   0.00 states/eV/f.u.
Energy   -461.84 eV per cell
Raw formation energy   -2.03 eV/atom
Magnetization   0.0 μB per formula unit



4.
Li2Ga2GeS6 | SCAN | single point on PBEsol structure

```
Li2Ga2GeS6
1.0
-0.359 5.859 -3.363
-5.326 4.299 1.252
6.165 2.113 9.829
Li Ga Ge S
4 4 2 12
Cartesian
-2.964 3.682 1.405
3.522 7.315 7.043
1.540 3.084 3.285
-0.803 4.984 6.845
-2.458 7.929 1.118
2.973 3.781 6.922
-0.027 5.584 0.176
0.362 9.055 6.182
0.184 7.049 3.334
-0.146 2.378 -1.365
-0.080 5.047 2.423
-1.684 8.291 3.251
4.626 2.789 8.196
-1.489 4.062 -0.734
0.583 6.857 5.505
-3.327 9.896 0.496
2.282 2.054 5.572
-3.944 6.184 1.414
1.908 9.212 7.875
-0.864 7.579 -0.401
3.624 5.380 5.496
1.340 4.767 8.075
```

Summary:
DOS at the Fermi energy   0.00 states/eV/f.u.
Energy   -248.81 eV per cell
Raw formation energy   -0.92 eV/atom
Magnetization   0.0 μB per formula unit



5.
Mn6GaGe | SCAN | single point on PBEsol structure

```
Mn6GaGe
1.0
4.085 0.000 0.000
0.000 5.060 0.000
0.000 -2.530 4.382
Mn Ga Ge
6 1 1
Cartesian
0.000 1.223 3.628
0.000 0.000 1.509
0.000 -1.223 3.628
2.043 -1.210 2.223
2.043 0.000 4.318
2.043 1.210 2.223
2.043 0.000 0.000
0.000 2.530 1.461
```

Summary:
DOS at the Fermi energy   5.68 states/eV/f.u.
Energy   -145.60 eV per cell
Magnetization   11.3 μB per formula unit
Energy of formation from the pure elements   -80 meV per atom



6.
Mn2GaGe | SCAN | single point on PBEsol structure

```
Mn2GaGe
1.0
2.704 0.000 0.000
0.000 2.704 0.000
-1.352 -1.352 7.113
Ge Mn Ga
1 2 1
Cartesian
0.000 0.000 1.894
1.352 1.352 0.274
1.352 1.352 6.046
0.000 0.000 4.388
```

Summary:
DOS at the Fermi energy   1.62 states/eV/f.u.
Energy   -72.46 eV per cell
Magnetization   0.6 μB per formula unit
Energy of formation from the pure elements   -129 meV per atom



7.
Sc2Mn12GaGe11 | SCAN | single point on PBEsol structure

```
Sc2Mn12GaGe11
1.0
-0.269 4.093 -2.911
-3.244 -3.784 -0.676
-10.069 6.768 10.446
Sc Mn Ga Ge
2 12 1 11
Cartesian
-4.771 0.534 1.192
-9.803 3.917 6.412
-4.522 5.302 1.359
-9.574 8.702 6.601
-4.388 3.261 2.811
-9.440 6.655 8.057
-6.140 3.415 1.022
-11.197 6.810 6.263
-7.079 7.020 4.011
-2.024 3.627 -1.232
-6.945 4.979 5.463
-1.889 1.580 0.224
-8.696 5.133 3.674
-3.646 1.735 -1.570
-5.035 3.384 5.223
-7.558 5.080 7.840
-2.511 1.688 2.605
-3.770 3.155 0.438
-8.820 6.548 5.676
-6.477 1.681 2.962
-11.510 5.064 8.183
-8.097 2.770 4.642
-3.064 -0.613 -0.579
0.000 0.000 0.000
-6.295 4.851 3.057
-1.260 1.467 -2.166
```

Summary:
DOS at the Fermi energy   10.55 states/eV/f.u.
Energy   -485.24 eV per cell
Magnetization   24.7 μB per formula unit
Energy of formation from the pure elements   -438 meV per atom



8.
Ga40GeMo8 | SCAN | single point on PBEsol structure

```
Ga40GeMo8
1.0
9.450 0.005 0.006
-0.655 9.427 0.006
-0.655 -0.702 9.401
Ga Ge Mo
40 1 8
Cartesian
4.070 4.365 4.706
-0.655 4.363 4.703
4.398 4.716 0.006
4.398 -0.348 4.703
6.502 3.398 3.425
2.935 2.911 6.962
2.699 6.707 3.645
1.638 5.333 5.987
5.205 5.819 2.450
5.442 2.023 5.767
2.680 4.309 2.173
4.111 1.943 3.129
1.652 2.802 4.460
5.461 4.422 7.239
4.030 6.787 6.283
6.489 5.928 4.952
1.131 4.583 8.711
4.493 8.578 2.098
8.243 1.711 5.224
7.010 4.147 0.701
3.647 0.152 7.314
-0.103 7.020 4.188
-0.045 3.664 2.035
3.658 2.013 0.363
1.753 0.078 3.806
8.186 5.066 7.377
4.483 6.717 9.049
6.388 8.653 5.606
8.788 1.033 2.438
0.417 1.767 8.996
1.734 8.931 1.213
-0.647 7.697 6.975
7.723 6.963 0.416
6.407 -0.200 8.199
7.533 2.363 7.799
1.831 7.201 8.244
7.055 8.046 2.942
0.607 6.367 1.613
6.309 1.529 1.168
1.085 0.685 6.470
0.000 0.000 0.000
1.766 1.894 2.042
6.375 6.836 7.370
6.444 0.773 3.647
0.322 3.151 6.737
3.120 6.678 1.045
1.697 7.957 5.765
7.819 5.580 2.675
5.020 2.052 8.367
```

Summary:
DOS at the Fermi energy   17.98 states/eV/f.u.
Energy   -958.95 eV per cell
Magnetization   0.0 μB per formula unit
Energy of formation from the pure elements   -141 meV per atom



9.
GaGe3N | SCAN | single point on PBEsol structure

```
GaGe3N
1.0
4.724 0.000 0.000
0.000 4.724 0.000
0.000 0.000 4.724
Ge Ga N
3 1 1
Cartesian
0.000 2.362 0.000
0.000 0.000 2.362
2.362 0.000 0.000
0.000 0.000 0.000
2.362 2.362 2.362
```

Summary:
DOS at the Fermi energy   2.36 states/eV/f.u.
Energy   -74.51 eV per cell
Raw formation energy   1.68 eV/atom
Magnetization   2.0 μB per formula unit



10.
GaGeN3 | SCAN | single point on PBEsol structure

```
GaGeN3
1.0
-1.561 -1.332 -3.178
-0.769 -3.266 1.746
-3.359 1.367 1.077
Ge Ga N
1 1 3
Cartesian
0.000 0.000 0.000
-2.845 -1.615 -0.177
-0.385 -1.633 0.873
-1.679 0.683 0.539
-0.781 -0.666 -1.589
```

Summary:
DOS at the Fermi energy   3.86 states/eV/f.u.
Energy   -55.80 eV per cell
Raw formation energy   1.50 eV/atom
Magnetization   0.0 μB per formula unit



11.
Sr2GaGeN | SCAN | single point on PBEsol structure

```
Sr2GaGeN
1.0
-0.417 -3.068 -2.592
4.602 -3.647 3.575
-7.868 -1.638 3.204
Sr Ga Ge N
4 2 2 2
Cartesian
0.996 -1.909 0.527
-0.131 -5.423 1.721
-3.552 -2.929 2.465
-4.679 -6.443 3.660
2.384 -4.688 3.591
-6.067 -3.664 0.596
-1.860 -3.435 -0.353
-1.823 -4.917 4.540
1.662 -3.510 2.314
-5.345 -4.842 1.873
```

Summary:
DOS at the Fermi energy   0.17 states/eV/f.u.
Energy   -186.51 eV per cell
Raw formation energy   -0.80 eV/atom
Magnetization   0.0 μB per formula unit



12.
Y2GaGeN | SCAN | single point on PBEsol structure

```
Y2GaGeN
1.0
-0.869 -3.673 -2.182
3.520 1.372 -3.713
3.815 -2.502 2.692
Y Ge Ga N
2 1 1 1
Cartesian
1.907 -1.251 1.346
1.760 0.686 -1.856
-0.435 -1.836 -1.091
0.000 0.000 0.000
3.233 -2.401 -1.601
```

Summary:
DOS at the Fermi energy   2.51 states/eV/f.u.
Energy   -96.51 eV per cell
Raw formation energy   0.78 eV/atom
Magnetization   0.0 μB per formula unit